Crystalline V2Zn3P4O18 at its relaxed geometry, computed with PBE with a Hubbard U.

Calculated values
Space group: Cm, No. 8
Total magnetization, μB per formula unit: 0.0
Calculated total energy, eV/cell: -181.679

Unit cell a=7.8463 b=7.8463 c=7.7791 alpha=111.59 beta=111.59 gamma=105.58
Fractional coordinates of all 27 atoms:
V 0.2499 0.7501 0.0000
V 0.7501 0.2499 0.0000
Zn 0.0338 0.0338 0.5007
Zn 0.3102 0.5507 0.4994
Zn 0.5507 0.3102 0.4994
P 0.0823 0.0823 0.1149
P 0.4665 0.4665 0.8852
P 0.5886 0.9640 0.4999
P 0.9640 0.5886 0.4999
O 0.0113 0.7845 0.4992
O 0.0810 0.5815 0.0004
O 0.1310 0.9275 0.9693
O 0.1681 0.6269 0.6961
O 0.2692 0.2692 0.7752
O 0.2900 0.2900 0.2801
O 0.4306 0.9721 0.3040
O 0.4575 0.6610 0.0306
O 0.4859 0.7729 0.5004
O 0.5078 0.5078 0.7185
O 0.5815 0.0810 0.0004
O 0.6269 0.1681 0.6961
O 0.6610 0.4575 0.0306
O 0.7729 0.4859 0.5004
O 0.7845 0.0113 0.4992
O 0.9275 0.1310 0.9693
O 0.9721 0.4306 0.3040
O 0.9962 0.9962 0.2267